[1]
A relaxed structure of PuGaCl2. Source: Alexandria via LeMat-Bulk, functional PBE.

Cell: 3.8717 3.8717 28.0837 Å, 90.00 90.00 120.00°
Space group R-3m (No. 166, hexagonal axes)
Symmetry-distinct sites (fractional):
Pu (0.0000, 0.0000, 0.0000) x3
Ga (0.0000, 0.0000, 0.5000) x3
Cl (0.0000, 0.0000, 0.0966) x6

[2]
A relaxed structure of PuGa2Cl5. Source: Alexandria via LeMat-Bulk, functional PBE.

Cell: 5.528 15.344 13.938 Å, 90.00 90.00 90.00°
Space group Cmcm (No. 63)
Symmetry-distinct sites (fractional):
Pu (0.000, 0.178, 0.250) x4
Ga (0.000, 0.144, 0.556) x8
Cl (0.000, 0.053, 0.116) x8
Cl (0.000, 0.286, 0.094) x8
Cl (0.000, 0.298, 0.750) x4

[3]
A relaxed structure of PuGa2Cl8. Source: Alexandria via LeMat-Bulk, functional PBE.

Cell: 18.087 10.009 9.871 Å, 90.00 121.16 90.00°
Space group C2/c (No. 15)
Symmetry-distinct sites (fractional):
Pu (0.000, 0.030, 0.250) x4
Ga (0.101, 0.257, 0.064) x8
Cl (0.037, 0.170, 0.562) x8
Cl (0.113, 0.459, 0.006) x8
Cl (0.137, 0.216, 0.313) x8
Cl (0.161, 0.102, 0.988) x8

Computed properties:
offset from the most stable computed form	0	kJ/mol of formula units

[4]
A relaxed structure of RbPu2GaCl8. Source: Alexandria via LeMat-Bulk, functional PBE.

Cell: 6.904 8.579 7.104 Å, 90.00 93.13 90.00°
Space group P2/m (No. 10)
Symmetry-distinct sites (fractional):
Rb (0.000, 0.000, 0.000) x1
Pu (0.500, 0.254, 0.500) x2
Ga (0.000, 0.500, 0.000) x1
Cl (0.261, 0.269, 0.193) x4
Cl (0.294, 0.500, 0.644) x2
Cl (0.297, 0.000, 0.634) x2

[5]
A relaxed structure of Rb4GaCl5. Source: Alexandria via LeMat-Bulk, functional PBE.

Cell: 10.412 10.412 6.664 Å, 90.00 90.00 90.00°
Space group I4 (No. 79)
Symmetry-distinct sites (fractional):
Rb (0.100, 0.701, 0.000) x8
Ga (0.000, 0.000, 0.513) x2
Cl (0.000, 0.000, 0.906) x2
Cl (0.096, 0.708, 0.501) x8

[6]
A relaxed structure of RbGa2Cl. Source: Alexandria via LeMat-Bulk, functional PBE.

Cell: 7.933 7.933 7.933 Å, 90.00 90.00 90.00°
Space group Fm-3m (No. 225)
Symmetry-distinct sites (fractional):
Rb (0.000, 0.000, 0.000) x4
Ga (0.250, 0.250, 0.250) x8
Cl (0.000, 0.000, 0.500) x4

Computed properties:
offset from the most stable computed form	211	kJ/mol of formula units

[7]
A relaxed structure of Rb3GaCl6. Source: Alexandria via LeMat-Bulk, functional PBE.

Cell: 13.187 15.917 7.918 Å, 90.00 90.00 90.00°
Space group Cmc2_1 (No. 36)
Symmetry-distinct sites (fractional):
Rb (0.000, 0.072, 0.000) x4
Rb (0.205, 0.400, 0.080) x8
Ga (0.000, 0.313, 0.671) x4
Cl (0.000, 0.316, 0.394) x4
Cl (0.000, 0.442, 0.778) x4
Cl (0.134, 0.247, 0.774) x8
Cl (0.168, 0.030, 0.282) x8

[8]
A relaxed structure of RbGaCl4. Source: Alexandria via LeMat-Bulk, functional PBE.

Cell: 9.763 7.172 6.845 Å, 90.00 112.20 90.00°
Space group C2/m (No. 12)
Symmetry-distinct sites (fractional):
Rb (0.000, 0.000, 0.000) x2
Ga (0.000, 0.500, 0.500) x2
Cl (0.146, 0.276, 0.714) x8

VASP energy, record by record: -71.5, -159.7, -198.2, -67.9, -66.1, -34.6, -133.4, -38.8 eV/cell
Formation energy from raw total energies, record by record: -698, -1289, -1308, -1707, -1691, 54, -1634, -1334 meV/atom